1.
Compound: Na2CdPS4
Source: the Alexandria database
Functional: PBE
Structure: relaxed

The space group is I-4 (No. 82) and the conventional cell measures 6.306, 6.306 and 10.326 Å, with angles of 90.00, 90.00 and 90.00 degrees. Symmetry generates all atoms from Na at (0.000, 0.000, 0.000), Na at (0.000, 0.500, 0.250), Cd at (0.000, 0.000, 0.500), P at (0.000, 0.500, 0.750) and S at (0.196, 0.279, 0.637).

As for the density of states at the Fermi level: 0.497 states/eV/atom. Its crystal system is tetragonal. As for the electronic total energy: -3.749 eV per atom.



2.
Compound: CaLaIn2
Source: the Alexandria database
Functional: PBE
Structure: relaxed

The space group is Cmmm (No. 65) and the conventional cell measures 7.270, 9.282 and 3.512 Å, with angles of 90.00, 90.00 and 90.00 degrees. Symmetry generates all atoms from Ca at (0.000, 0.000, 0.000), La at (0.000, 0.500, 0.000) and In at (0.250, 0.250, 0.500).

Its formation energy from the elements is -1.86 eV per formula unit. As for the density of states at the Fermi level: 0.537 states/eV/atom. Its crystal system is orthorhombic.



3.
Compound: TeRu2Pt
Source: the Alexandria database
Functional: PBE
Structure: relaxed

The space group is Pmm2 (No. 25) and the conventional cell measures 2.971, 3.851 and 5.845 Å, with angles of 90.00, 90.00 and 90.00 degrees. Symmetry generates all atoms from Te at (0.000, 0.000, 0.000), Ru at (0.000, 0.000, 0.539), Ru at (0.500, 0.500, 0.748) and Pt at (0.500, 0.500, 0.299).

As for the density of states at the Fermi level: 0.932 states/eV/atom. Its crystal system is orthorhombic. As for the electronic total energy: -6.646 eV per atom.



4.
Compound: Bi2SbW
Source: the Alexandria database
Functional: PBE
Structure: relaxed

The space group is I-42d (No. 122) and the conventional cell measures 6.678, 6.678 and 13.706 Å, with angles of 90.00, 90.00 and 90.00 degrees. Symmetry generates all atoms from Bi at (0.208, 0.250, 0.125), Sb at (0.000, 0.000, 0.500) and W at (0.000, 0.000, 0.000).

As for the density of states at the Fermi level: 0.604 states/eV/atom. Its crystal system is tetragonal. As for the electronic total energy: -5.068 eV per atom.



5.
Compound: CsSrAl2I8
Source: the Alexandria database
Functional: PBE
Structure: relaxed

The space group is R-3 (No. 148, hexagonal axes) and the conventional cell measures 7.7148, 7.7148 and 33.4711 Å, with angles of 90.00, 90.00 and 120.00 degrees. Symmetry generates all atoms from Cs at (0.0000, 0.0000, 0.0000), Sr at (0.0000, 0.0000, 0.5000), Al at (0.0000, 0.0000, 0.2497), I at (0.0000, 0.0000, 0.3274) and I at (0.0070, 0.3508, 0.5589).

As for the density of states at the Fermi level: 0.538 states/eV/atom. Its crystal system is trigonal. As for the electronic total energy: -2.809 eV per atom.



6.
Compound: CuReW2
Source: the Alexandria database
Functional: PBE
Structure: relaxed

The space group is P4mm (No. 99) and the conventional cell measures 3.242, 3.242 and 5.682 Å, with angles of 90.00, 90.00 and 90.00 degrees. Symmetry generates all atoms from Cu at (0.000, 0.000, 0.000), Re at (0.500, 0.500, 0.236), W at (0.000, 0.000, 0.496) and W at (0.500, 0.500, 0.770).

Its formation energy from the elements is 1.09 eV per formula unit. Its relative energy among the computed polymorphs is 49.4 meV/atom. As for the density of states at the Fermi level: 0.591 states/eV/atom. Its crystal system is tetragonal.



7.
Compound: CuHg2Bi2
Source: the Alexandria database
Functional: PBE
Structure: relaxed

The space group is P4/mbm (No. 127) and the conventional cell measures 7.199, 7.199 and 5.386 Å, with angles of 90.00, 90.00 and 90.00 degrees. Symmetry generates all atoms from Cu at (0.000, 0.000, 0.000), Hg at (0.165, 0.335, 0.500) and Bi at (0.158, 0.658, 0.000).

Its formation energy from the elements is 1.01 eV per formula unit. Its relative energy among the computed polymorphs is 0.0 meV/atom. As for the density of states at the Fermi level: 0.549 states/eV/atom. Its crystal system is tetragonal.



8.
Compound: RbBiCl3
Source: the Alexandria database
Functional: PBE
Structure: relaxed

The space group is Pm-3m (No. 221) and the conventional cell measures 5.831, 5.831 and 5.831 Å, with angles of 90.00, 90.00 and 90.00 degrees. Symmetry generates all atoms from Rb at (0.000, 0.000, 0.000), Bi at (0.500, 0.500, 0.500) and Cl at (0.000, 0.000, 0.500).

Its relative energy among the computed polymorphs is 922.6 meV/atom. As for the density of states at the Fermi level: 0.603 states/eV/atom. Its crystal system is cubic.



9.
Compound: Be2BrF
Source: the Alexandria database
Functional: PBE
Structure: relaxed

The space group is Fm-3m (No. 225) and the conventional cell measures 6.011, 6.011 and 6.011 Å, with angles of 90.00, 90.00 and 90.00 degrees. Symmetry generates all atoms from Be at (0.250, 0.250, 0.250), Br at (0.000, 0.000, 0.000) and F at (0.000, 0.000, 0.500).

Its relative energy among the computed polymorphs is 553.5 meV/atom. As for the density of states at the Fermi level: 0.481 states/eV/atom. Its crystal system is cubic.



10.
Compound: KCr3
Source: the Alexandria database
Functional: PBE
Structure: relaxed

The space group is Immm (No. 71) and the conventional cell measures 3.031, 5.840 and 10.167 Å, with angles of 90.00, 90.00 and 90.00 degrees. Symmetry generates all atoms from K at (0.000, 0.000, 0.000), Cr at (0.000, 0.000, 0.500) and Cr at (0.000, 0.500, 0.194).

Its formation energy from the elements is 4.79 eV per formula unit. Its relative energy among the computed polymorphs is 402.8 meV/atom. As for the density of states at the Fermi level: 0.623 states/eV/atom. Its crystal system is orthorhombic.



11.
Compound: ThSi2Rh2
Source: the Alexandria database
Functional: PBE
Structure: relaxed

The space group is I4/mmm (No. 139) and the conventional cell measures 4.127, 4.127 and 10.126 Å, with angles of 90.00, 90.00 and 90.00 degrees. Symmetry generates all atoms from Th at (0.000, 0.000, 0.000), Si at (0.000, 0.000, 0.379) and Rh at (0.000, 0.500, 0.250).

As for the density of states at the Fermi level: 0.486 states/eV/atom. Its crystal system is tetragonal. As for the electronic total energy: -7.694 eV per atom.



12.
Compound: Ru2BrCl
Source: the Alexandria database
Functional: PBE
Structure: relaxed

The space group is F-43m (No. 216) and the conventional cell measures 6.467, 6.467 and 6.467 Å, with angles of 90.00, 90.00 and 90.00 degrees. Symmetry generates all atoms from Ru at (0.000, 0.000, 0.000), Ru at (0.250, 0.250, 0.250), Br at (0.000, 0.000, 0.500) and Cl at (0.250, 0.250, 0.750).

Its relative energy among the computed polymorphs is 907.3 meV/atom. As for the density of states at the Fermi level: 0.835 states/eV/atom. Its crystal system is cubic.



13.
Compound: LaTl2B
Source: the Alexandria database
Functional: PBE
Structure: relaxed

The space group is Fm-3m (No. 225) and the conventional cell measures 7.389, 7.389 and 7.389 Å, with angles of 90.00, 90.00 and 90.00 degrees. Symmetry generates all atoms from La at (0.000, 0.000, 0.000), Tl at (0.250, 0.250, 0.250) and B at (0.000, 0.000, 0.500).

Its formation energy from the elements is 2.75 eV per formula unit. Its relative energy among the computed polymorphs is 386.4 meV/atom. As for the density of states at the Fermi level: 0.591 states/eV/atom. Its crystal system is cubic.



14.
Compound: Tb2PmTh3P6
Source: the Alexandria database
Functional: PBE
Structure: relaxed

The space group is C2/m (No. 12) and the conventional cell measures 7.131, 12.332 and 7.079 Å, with angles of 90.00, 109.61 and 90.00 degrees. Symmetry generates all atoms from Tb at (0.000, 0.167, 0.000), Pm at (0.000, 0.500, 0.000), Th at (0.000, 0.000, 0.500), Th at (0.000, 0.334, 0.500), P at (0.245, 0.000, 0.247) and P at (0.249, 0.168, 0.753).

Its formation energy from the elements is -19.00 eV per formula unit. As for the density of states at the Fermi level: 0.409 states/eV/atom. Its crystal system is monoclinic.



15.
Compound: NaTl8As2
Source: the Alexandria database
Functional: PBE
Structure: relaxed

The space group is C2/m (No. 12) and the conventional cell measures 14.192, 9.358 and 5.766 Å, with angles of 90.00, 111.34 and 90.00 degrees. Symmetry generates all atoms from Na at (0.000, 0.000, 0.000), Tl at (0.096, 0.500, 0.397), Tl at (0.118, 0.295, 0.944), Tl at (0.142, 0.000, 0.568) and As at (0.232, 0.000, 0.128).

Its formation energy from the elements is 0.23 eV per formula unit. As for the density of states at the Fermi level: 0.347 states/eV/atom. Its crystal system is monoclinic.



16.
Compound: Pa2Ga5Pt
Source: the Alexandria database
Functional: PBE
Structure: relaxed

The space group is I4mm (No. 107) and the conventional cell measures 5.965, 5.965 and 8.883 Å, with angles of 90.00, 90.00 and 90.00 degrees. Symmetry generates all atoms from Pa at (0.000, 0.500, 0.000), Ga at (0.000, 0.000, 0.001), Ga at (0.246, 0.246, 0.252) and Pt at (0.000, 0.000, 0.558).

Its formation energy from the elements is -3.44 eV per formula unit. As for the density of states at the Fermi level: 0.961 states/eV/atom. Its crystal system is tetragonal.



17.
Compound: HoCu6Ni2
Source: the Alexandria database
Functional: PBE
Structure: relaxed

The space group is P6/mmm (No. 191) and the conventional cell measures 5.0084, 5.0084 and 6.5391 Å, with angles of 90.00, 90.00 and 120.00 degrees. Symmetry generates all atoms from Ho at (0.0000, 0.0000, 0.0000), Cu at (0.0000, 0.5000, 0.2021) and Ni at (0.3333, 0.6667, 0.5000).

Its formation energy from the elements is 2.17 eV per formula unit. As for the density of states at the Fermi level: 0.644 states/eV/atom. Its crystal system is hexagonal.



18.
Compound: Ca2H6PtAu
Source: the Alexandria database
Functional: PBE
Structure: relaxed

The space group is C2/m (No. 12) and the conventional cell measures 7.533, 7.550 and 5.400 Å, with angles of 90.00, 134.09 and 90.00 degrees. Symmetry generates all atoms from Ca at (0.000, 0.250, 0.000), H at (0.000, 0.235, 0.500), H at (0.230, 0.000, 0.962), H at (0.235, 0.000, 0.500), Pt at (0.000, 0.000, 0.500) and Au at (0.000, 0.500, 0.500).

As for the density of states at the Fermi level: 0.078 states/eV/atom. Its crystal system is monoclinic. As for the electronic total energy: -3.782 eV per atom.



19.
Compound: K2RbH4Pd
Source: the Alexandria database
Functional: PBE
Structure: relaxed

The space group is Cmcm (No. 63) and the conventional cell measures 3.744, 14.368 and 12.329 Å, with angles of 90.00, 90.00 and 90.00 degrees. Symmetry generates all atoms from K at (0.000, 0.133, 0.049), Rb at (0.000, 0.437, 0.250), H at (0.000, 0.239, 0.250), H at (0.000, 0.250, 0.614), H at (0.000, 0.500, 0.000) and Pd at (0.000, 0.256, 0.750).

As for the density of states at the Fermi level: 0.181 states/eV/atom. Its crystal system is orthorhombic. As for the electronic total energy: -2.902 eV per atom.



20.
Compound: ZrNbGe2P
Source: the Alexandria database
Functional: PBE
Structure: relaxed

The space group is P4/mmm (No. 123) and the conventional cell measures 4.735, 4.735 and 4.585 Å, with angles of 90.00, 90.00 and 90.00 degrees. Symmetry generates all atoms from Zr at (0.000, 0.000, 0.000), Nb at (0.500, 0.500, 0.000), Ge at (0.000, 0.500, 0.500) and P at (0.500, 0.500, 0.500).

Its formation energy from the elements is 2.24 eV per formula unit. As for the density of states at the Fermi level: 0.724 states/eV/atom. Its crystal system is tetragonal.